# Pm3Nd2 PBE optimized geometry
data_Pm3Nd2
_chemical_formula_sum 'Pm18 Nd12'
_cell_length_a 6.2409
_cell_length_b 6.2409
_cell_length_c 34.0185
_cell_angle_alpha 90.00
_cell_angle_beta 90.00
_cell_angle_gamma 120.00
_symmetry_space_group_name_H-M 'R -3 c'
_symmetry_Int_Tables_number 167
_symmetry_space_group_name_Hall '-R 3 2"c'
loop_
_atom_site_label
_atom_site_fract_x
_atom_site_fract_y
_atom_site_fract_z
Pm1 0.0000 0.3363 0.2500
Nd1 0.0000 0.0000 0.1657
# Volume   1147.5 Å³/cell
# Magnetization   0.00 μB/cell
# Calculated total energy   -131.8 eV per cell
# Energy above the most stable polymorph in this dataset   354 meV/atom
# Energy of formation   0.364 eV per atom


# Er5Os2Au2 PBE optimized geometry
data_Er5Os2Au2
_chemical_formula_sum 'Er20 Os8 Au8'
_cell_length_a 15.437
_cell_length_b 7.353
_cell_length_c 7.447
_cell_angle_alpha 90.00
_cell_angle_beta 90.00
_cell_angle_gamma 90.00
_symmetry_space_group_name_H-M 'C m c e'
_symmetry_Int_Tables_number 64
_symmetry_space_group_name_Hall '-C 2ac 2'
loop_
_atom_site_label
_atom_site_fract_x
_atom_site_fract_y
_atom_site_fract_z
Er1 0.000 0.000 0.000
Er2 0.129 0.178 0.322
Os1 0.000 0.119 0.620
Au1 0.213 0.000 0.000
# Volume   845.4 Å³/cell
# Magnetization   0.00 μB/cell
# Calculated total energy   -227.0 eV per cell
# Energy of formation   -0.546 eV per atom


# PuHfO5 PBE optimized geometry
data_PuHfO5
_chemical_formula_sum 'Pu2 Hf2 O10'
_cell_length_a 3.889
_cell_length_b 6.645
_cell_length_c 8.103
_cell_angle_alpha 90.00
_cell_angle_beta 90.00
_cell_angle_gamma 90.00
_symmetry_space_group_name_H-M 'I m m m'
_symmetry_Int_Tables_number 71
_symmetry_space_group_name_Hall '-I 2 2'
loop_
_atom_site_label
_atom_site_fract_x
_atom_site_fract_y
_atom_site_fract_z
Pu1 0.000 0.000 0.000
Hf1 0.000 0.000 0.500
O1 0.000 0.000 0.230
O2 0.000 0.312 0.500
O3 0.000 0.500 0.000
# Volume   209.4 Å³/cell
# Magnetization   4.00 μB/cell
# Calculated total energy   -137.6 eV per cell